Compound: NbTeS
Source: Alexandria
Functional: GGA-PBE
Structure: optimized geometry

Lattice parameters (Å, degrees): 3.5319 3.5319 6.8117 90.00 90.00 120.00
Space group P3m1 (No. 156)
Inequivalent atoms, fractional coordinates:
Nb  0.0000  0.0000  0.0000
Te  0.6667  0.3333  0.2881
S  0.3333  0.6667  0.7904

Energy relative to the elements, uncorrected in meV/atom: -697.0
Size of the total moment in μB per formula unit: 0.00
Energy above the lowest structure with this stoichiometry in meV per atom: 0